(1)
The following is a PBE calculation of AlTc2Cl after structural relaxation, from Alexandria.

It has space group C2/m (No. 12), with a = 5.238 Å, b = 8.818 Å, c = 3.056 Å, α = 90.00°, β = 119.31° and γ = 90.00°. The inequivalent atoms are Al at (0.000, 0.000, 0.000), Tc at (0.250, 0.250, 0.500) and Cl at (0.000, 0.500, 0.000).


(2)
The following is a PBE calculation of AlTc2Cl after structural relaxation, from Alexandria.

It has space group Pmmm (No. 47), with a = 3.194 Å, b = 3.383 Å, c = 6.657 Å, α = 90.00°, β = 90.00° and γ = 90.00°. The inequivalent atoms are Al at (0.000, 0.000, 0.000), Tc at (0.500, 0.500, 0.173) and Cl at (0.000, 0.500, 0.500).


(3)
The following is a PBE calculation of AlTc2Cl after structural relaxation, from Alexandria.

It has space group Pm (No. 6), with a = 2.881 Å, b = 4.085 Å, c = 5.278 Å, α = 90.00°, β = 96.45° and γ = 90.00°. The inequivalent atoms are Al at (0.000, 0.000, 0.000), Tc at (0.446, 0.500, 0.753), Tc at (0.844, 0.000, 0.519) and Cl at (0.599, 0.500, 0.299).


(2) is the most stable structure; the next one sits 15.2 kJ/mol of atoms above it.


(1)
The following is a PBE calculation of AlTcCl2 after structural relaxation, from Alexandria.

It has space group Fm-3m (No. 225), with a = 6.595 Å, b = 6.595 Å, c = 6.595 Å, α = 90.00°, β = 90.00° and γ = 90.00°. The inequivalent atoms are Al at (0.000, 0.000, 0.000), Tc at (0.000, 0.000, 0.500) and Cl at (0.250, 0.250, 0.250).


(2)
The following is a PBE calculation of AlTcCl2 after structural relaxation, from Alexandria.

It has space group Cm (No. 8), with a = 9.014 Å, b = 3.122 Å, c = 7.583 Å, α = 90.00°, β = 111.68° and γ = 90.00°. The inequivalent atoms are Al at (0.000, 0.000, 0.000), Tc at (0.207, 0.500, 0.941), Cl at (0.143, 0.000, 0.686) and Cl at (0.268, 0.000, 0.226).


(2) is the most stable structure; the next one sits 69.7 kJ/mol of atoms above it.


(1)
The following is a PBE calculation of AlTcCl2 after structural relaxation, from Alexandria.

It has space group P4/mmm (No. 123), with a = 4.501 Å, b = 4.501 Å, c = 4.046 Å, α = 90.00°, β = 90.00° and γ = 90.00°. The inequivalent atoms are Al at (0.000, 0.000, 0.000), Tc at (0.500, 0.500, 0.000) and Cl at (0.000, 0.500, 0.500).


(2)
The following is a PBE calculation of AlTcCl2 after structural relaxation, from Alexandria.

It has space group Immm (No. 71), with a = 3.074 Å, b = 4.158 Å, c = 14.480 Å, α = 90.00°, β = 90.00° and γ = 90.00°. The inequivalent atoms are Al at (0.000, 0.000, 0.000), Tc at (0.000, 0.000, 0.500) and Cl at (0.000, 0.500, 0.136).


(2) is the most stable structure; the next one sits 76.3 kJ/mol of atoms above it.